(1)
# HfSiN2F

A PBEsol-optimized structure of HfSiN2F (SCAN, Alexandria via LeMat-Bulk).

```
data_HfSiN2F
_chemical_formula_sum 'Hf1 Si1 N2 F1'
_space_group_name_H-M_alt 'P 4/m m m'
_space_group_IT_number 123
_space_group_name_Hall '-P 4 2'
_cell_length_a 4.1726
_cell_length_b 4.1726
_cell_length_c 3.9786
_cell_angle_alpha 90.00
_cell_angle_beta 90.00
_cell_angle_gamma 90.00
loop_
_atom_site_label
_atom_site_type_symbol
_atom_site_fract_x
_atom_site_fract_y
_atom_site_fract_z
Hf1 Hf 0.0000 0.0000 0.0000
Si1 Si 0.5000 0.5000 0.5000
N1 N 0.0000 0.5000 0.0000
F1 F 0.0000 0.0000 0.5000
```

Total magnetic moment   1.00 μB per cell


(2)
# SrHfN2F

A PBEsol-optimized structure of SrHfN2F (SCAN, Alexandria via LeMat-Bulk).

```
data_SrHfN2F
_chemical_formula_sum 'Sr1 Hf1 N2 F1'
_space_group_name_H-M_alt 'P 4/m m m'
_space_group_IT_number 123
_space_group_name_Hall '-P 4 2'
_cell_length_a 4.1923
_cell_length_b 4.1923
_cell_length_c 4.1494
_cell_angle_alpha 90.00
_cell_angle_beta 90.00
_cell_angle_gamma 90.00
loop_
_atom_site_label
_atom_site_type_symbol
_atom_site_fract_x
_atom_site_fract_y
_atom_site_fract_z
Sr1 Sr 0.0000 0.0000 0.0000
Hf1 Hf 0.5000 0.5000 0.5000
N1 N 0.0000 0.5000 0.5000
F1 F 0.5000 0.5000 0.0000
```

Total magnetic moment   0.01 μB per cell


(3)
# HfTeN2F

A PBEsol-optimized structure of HfTeN2F (SCAN, Alexandria via LeMat-Bulk).

```
data_HfTeN2F
_chemical_formula_sum 'Hf1 Te1 N2 F1'
_space_group_name_H-M_alt 'P 4/m m m'
_space_group_IT_number 123
_space_group_name_Hall '-P 4 2'
_cell_length_a 4.1603
_cell_length_b 4.1603
_cell_length_c 3.9460
_cell_angle_alpha 90.00
_cell_angle_beta 90.00
_cell_angle_gamma 90.00
loop_
_atom_site_label
_atom_site_type_symbol
_atom_site_fract_x
_atom_site_fract_y
_atom_site_fract_z
Hf1 Hf 0.0000 0.0000 0.0000
Te1 Te 0.5000 0.5000 0.0000
N1 N 0.0000 0.5000 0.5000
F1 F 0.5000 0.5000 0.5000
```

Total magnetic moment   1.90 μB per cell


(4)
# HfZrN2F

A PBEsol-optimized structure of HfZrN2F (SCAN, Alexandria via LeMat-Bulk).

```
data_HfZrN2F
_chemical_formula_sum 'Hf1 Zr1 N2 F1'
_space_group_name_H-M_alt 'P 4/m m m'
_space_group_IT_number 123
_space_group_name_Hall '-P 4 2'
_cell_length_a 4.1882
_cell_length_b 4.1882
_cell_length_c 3.8381
_cell_angle_alpha 90.00
_cell_angle_beta 90.00
_cell_angle_gamma 90.00
loop_
_atom_site_label
_atom_site_type_symbol
_atom_site_fract_x
_atom_site_fract_y
_atom_site_fract_z
Hf1 Hf 0.0000 0.0000 0.0000
Zr1 Zr 0.5000 0.5000 0.5000
N1 N 0.0000 0.5000 0.0000
F1 F 0.0000 0.0000 0.5000
```

Total magnetic moment   0.96 μB per cell


For reference, formation energy from raw total energies by record: -531 -1921 1150 -1363 meV per atom.
For reference, N(E_F) by record: 1.133 1.934 2.398 1.034 states/eV/cell.
For reference, mass density by record: 6.08 7.13 8.59 7.81 g/cm³.